VASP calculation (PBE) on Li3Pm2Sn4 after structural relaxation.

D(E_F): 0.453 states/eV per atom
calculated formation energy: -12.362 kcal/mol of atoms
raw total energy: -4.009 eV per atom
space-group type: Cmce

```
Li3Pm2Sn4
1.0
6.321 0.000 0.000
0.000 8.133 0.000
-3.161 0.000 8.107
Li Pm Sn
6 4 8
Cartesian
0.000 0.000 0.000 Li
3.161 4.066 0.000 Li
1.580 6.100 4.405 Li
4.741 2.033 3.702 Li
1.580 2.033 3.702 Li
-1.580 6.100 4.405 Li
0.000 4.858 1.746 Pm
3.161 3.275 6.361 Pm
0.000 0.792 6.361 Pm
3.161 7.341 1.746 Pm
1.580 6.100 7.196 Sn
4.741 2.033 0.910 Sn
1.580 2.033 0.910 Sn
-1.580 6.100 7.196 Sn
0.000 7.978 2.879 Sn
3.161 0.155 5.228 Sn
0.000 3.912 5.228 Sn
3.161 4.221 2.879 Sn
```